(1)
This record from Alexandria describes a relaxed structure of ZnTc2. The functional is PBEsol.

CIF file:
```
data_ZnTc2
_chemical_formula_sum 'Zn1 Tc2'
_cell_length_a 4.2834
_cell_length_b 4.2834
_cell_length_c 2.6103
_cell_angle_alpha 90.00
_cell_angle_beta 90.00
_cell_angle_gamma 120.00
_space_group_name_H-M_alt 'P -3 m 1'
_space_group_IT_number 164
_space_group_name_Hall '-P 3 2"'
loop_
_atom_site_label
_atom_site_fract_x
_atom_site_fract_y
_atom_site_fract_z
Zn1 0.0000 0.0000 0.0000
Tc1 0.3333 0.6667 0.6237
```

Properties
- Offset from the most stable computed form: 0.1429 eV per atom
- N(E_F): 0.710 states/eV/atom
- Total DFT energy (no corrections): -7.93 eV per atom
- ΔH_f (0 K): 31 kJ/mol of formula units

(2)
This record from Alexandria describes a relaxed structure of Zn3Tc. The functional is PBEsol.

CIF file:
```
data_Zn3Tc
_chemical_formula_sum 'Zn12 Tc4'
_cell_length_a 3.6758
_cell_length_b 3.6758
_cell_length_c 15.9493
_cell_angle_alpha 90.00
_cell_angle_beta 90.00
_cell_angle_gamma 90.00
_space_group_name_H-M_alt 'I 4/m m m'
_space_group_IT_number 139
_space_group_name_Hall '-I 4 2'
loop_
_atom_site_label
_atom_site_fract_x
_atom_site_fract_y
_atom_site_fract_z
Zn1 0.0000 0.0000 0.1303
Zn2 0.0000 0.5000 0.0000
Zn3 0.0000 0.5000 0.2500
Tc1 0.0000 0.0000 0.3825
```

Properties
- N(E_F): 0.108 states/eV/atom
- Total DFT energy (no corrections): -4.04 eV per atom
- ΔH_f (0 K): -13 kJ/mol of formula units

(3)
This record from Alexandria describes a relaxed structure of Zn3Tc. The functional is PBEsol.

CIF file:
```
data_Zn3Tc
_chemical_formula_sum 'Zn3 Tc1'
_cell_length_a 3.7736
_cell_length_b 3.7736
_cell_length_c 3.7736
_cell_angle_alpha 90.00
_cell_angle_beta 90.00
_cell_angle_gamma 90.00
_space_group_name_H-M_alt 'P m -3 m'
_space_group_IT_number 221
_space_group_name_Hall '-P 4 2 3'
loop_
_atom_site_label
_atom_site_fract_x
_atom_site_fract_y
_atom_site_fract_z
Zn1 0.0000 0.0000 0.5000
Tc1 0.5000 0.5000 0.5000
```

Properties
- N(E_F): 0.392 states/eV/atom
- Total DFT energy (no corrections): -4.05 eV per atom
- ΔH_f (0 K): -19 kJ/mol of formula units

(4)
This record from Alexandria describes a relaxed structure of ZnTc2. The functional is PBEsol.

CIF file:
```
data_ZnTc2
_chemical_formula_sum 'Zn2 Tc4'
_cell_length_a 3.0257
_cell_length_b 3.0257
_cell_length_c 9.0047
_cell_angle_alpha 90.00
_cell_angle_beta 90.00
_cell_angle_gamma 90.00
_space_group_name_H-M_alt 'I 4/m m m'
_space_group_IT_number 139
_space_group_name_Hall '-I 4 2'
loop_
_atom_site_label
_atom_site_fract_x
_atom_site_fract_y
_atom_site_fract_z
Zn1 0.0000 0.0000 0.0000
Tc1 0.0000 0.0000 0.3259
```

Properties
- Offset from the most stable computed form: 0.0000 eV per atom
- N(E_F): 0.383 states/eV/atom
- Total DFT energy (no corrections): -8.07 eV per atom
- ΔH_f (0 K): -10 kJ/mol of formula units

(5)
This record from Alexandria describes a relaxed structure of Zn24Tc5. The functional is PBEsol.

CIF file:
```
data_Zn24Tc5
_chemical_formula_sum 'Zn48 Tc10'
_cell_length_a 9.2142
_cell_length_b 9.2142
_cell_length_c 9.2142
_cell_angle_alpha 90.00
_cell_angle_beta 90.00
_cell_angle_gamma 90.00
_space_group_name_H-M_alt 'I -4 3 m'
_space_group_IT_number 217
_space_group_name_Hall 'I -4 2 3'
loop_
_atom_site_label
_atom_site_fract_x
_atom_site_fract_y
_atom_site_fract_z
Zn1 0.0470 0.3551 0.3551
Zn2 0.0925 0.0925 0.2846
Tc1 0.0000 0.0000 0.0000
Tc2 0.1699 0.1699 0.8301
```

Properties
- N(E_F): 0.626 states/eV/atom
- Total DFT energy (no corrections): -3.23 eV per atom
- ΔH_f (0 K): 73 kJ/mol of formula units

(6)
This record from Alexandria describes a relaxed structure of ZnTc3. The functional is PBEsol.

CIF file:
```
data_ZnTc3
_chemical_formula_sum 'Zn2 Tc6'
_cell_length_a 4.3956
_cell_length_b 5.2497
_cell_length_c 4.7432
_cell_angle_alpha 90.00
_cell_angle_beta 90.00
_cell_angle_gamma 90.00
_space_group_name_H-M_alt 'P m m n'
_space_group_IT_number 59
loop_
_space_group_symop_operation_xyz
'x,y,z'
'-x,-y,-z'
'-x+1/2,-y+1/2,z'
'x+1/2,y+1/2,-z'
'x+1/2,-y,-z'
'-x+1/2,y,z'
'-x,y+1/2,-z'
'x,-y+1/2,z'
loop_
_atom_site_label
_atom_site_fract_x
_atom_site_fract_y
_atom_site_fract_z
Zn1 0.2500 0.2500 0.1601
Tc1 0.2500 0.5066 0.6669
Tc2 0.2500 0.7500 0.1592
```

Properties
- N(E_F): 0.828 states/eV/atom
- Total DFT energy (no corrections): -8.77 eV per atom
- ΔH_f (0 K): 29 kJ/mol of formula units

(7)
This record from Alexandria describes a relaxed structure of ZnTc3. The functional is PBEsol.

CIF file:
```
data_ZnTc3
_chemical_formula_sum 'Zn2 Tc6'
_cell_length_a 4.7860
_cell_length_b 4.7860
_cell_length_c 4.7860
_cell_angle_alpha 90.00
_cell_angle_beta 90.00
_cell_angle_gamma 90.00
_space_group_name_H-M_alt 'P m -3 n'
_space_group_IT_number 223
_space_group_name_Hall '-P 4n 2 3'
loop_
_atom_site_label
_atom_site_fract_x
_atom_site_fract_y
_atom_site_fract_z
Zn1 0.0000 0.0000 0.0000
Tc1 0.0000 0.2500 0.5000
```

Properties
- N(E_F): 0.685 states/eV/atom
- Total DFT energy (no corrections): -8.80 eV per atom
- ΔH_f (0 K): 19 kJ/mol of formula units

(8)
This record from Alexandria describes a relaxed structure of ZnTc3. The functional is PBEsol.

CIF file:
```
data_ZnTc3
_chemical_formula_sum 'Zn3 Tc9'
_cell_length_a 2.7073
_cell_length_b 2.7073
_cell_length_c 26.3445
_cell_angle_alpha 90.00
_cell_angle_beta 90.00
_cell_angle_gamma 120.00
_space_group_name_H-M_alt 'R -3 m'
_space_group_IT_number 166
_space_group_name_Hall '-R 3 2"'
loop_
_atom_site_label
_atom_site_fract_x
_atom_site_fract_y
_atom_site_fract_z
Zn1 0.0000 0.0000 0.0000
Tc1 0.0000 0.0000 0.2483
Tc2 0.0000 0.0000 0.5000
```

Properties
- N(E_F): 0.855 states/eV/atom
- Total DFT energy (no corrections): -8.79 eV per atom
- ΔH_f (0 K): 23 kJ/mol of formula units

(9)
This record from Alexandria describes a relaxed structure of Zn8Tc. The functional is PBEsol.

CIF file:
```
data_Zn8Tc
_chemical_formula_sum 'Zn16 Tc2'
_cell_length_a 8.2066
_cell_length_b 8.2066
_cell_length_c 3.6537
_cell_angle_alpha 90.00
_cell_angle_beta 90.00
_cell_angle_gamma 90.00
_space_group_name_H-M_alt 'I 4/m m m'
_space_group_IT_number 139
_space_group_name_Hall '-I 4 2'
loop_
_atom_site_label
_atom_site_fract_x
_atom_site_fract_y
_atom_site_fract_z
Zn1 0.0000 0.3338 0.0000
Zn2 0.1678 0.1678 0.5000
Tc1 0.0000 0.0000 0.0000
```

Properties
- N(E_F): 0.449 states/eV/atom
- Total DFT energy (no corrections): -2.62 eV per atom
- ΔH_f (0 K): 34 kJ/mol of formula units

(10)
This record from Alexandria describes a relaxed structure of ZnTc2. The functional is PBEsol.

CIF file:
```
data_ZnTc2
_chemical_formula_sum 'Zn4 Tc8'
_cell_length_a 9.8535
_cell_length_b 2.7689
_cell_length_c 6.2818
_cell_angle_alpha 90.00
_cell_angle_beta 105.44
_cell_angle_gamma 90.00
_space_group_name_H-M_alt 'C 1 2/m 1'
_space_group_IT_number 12
loop_
_space_group_symop_operation_xyz
'x,y,z'
'-x,-y,-z'
'-x,y,-z'
'x,-y,z'
'x+1/2,y+1/2,z'
'-x+1/2,-y+1/2,-z'
'-x+1/2,y+1/2,-z'
'x+1/2,-y+1/2,z'
loop_
_atom_site_label
_atom_site_fract_x
_atom_site_fract_y
_atom_site_fract_z
Zn1 0.1967 0.0000 0.1300
Tc1 0.0154 0.5000 0.7930
Tc2 0.1357 0.0000 0.5352
```

Properties
- Offset from the most stable computed form: 0.0813 eV per atom
- N(E_F): 0.866 states/eV/atom
- Total DFT energy (no corrections): -7.99 eV per atom
- ΔH_f (0 K): 13 kJ/mol of formula units

(11)
This record from Alexandria describes a relaxed structure of Zn3Tc. The functional is PBEsol.

CIF file:
```
data_Zn3Tc
_chemical_formula_sum 'Zn9 Tc3'
_cell_length_a 8.5609
_cell_length_b 8.5609
_cell_length_c 2.5860
_cell_angle_alpha 90.00
_cell_angle_beta 90.00
_cell_angle_gamma 120.00
_space_group_name_H-M_alt 'R -3 m'
_space_group_IT_number 166
_space_group_name_Hall '-R 3 2"'
loop_
_atom_site_label
_atom_site_fract_x
_atom_site_fract_y
_atom_site_fract_z
Zn1 0.0000 0.5000 0.0000
Tc1 0.0000 0.0000 0.0000
```

Properties
- N(E_F): 0.440 states/eV/atom
- Total DFT energy (no corrections): -3.96 eV per atom
- ΔH_f (0 K): 17 kJ/mol of formula units

(12)
This record from Alexandria describes a relaxed structure of Zn3Tc. The functional is PBEsol.

CIF file:
```
data_Zn3Tc
_chemical_formula_sum 'Zn6 Tc2'
_cell_length_a 5.2757
_cell_length_b 7.7960
_cell_length_c 2.6553
_cell_angle_alpha 90.00
_cell_angle_beta 90.00
_cell_angle_gamma 90.00
_space_group_name_H-M_alt 'C m m m'
_space_group_IT_number 65
_space_group_name_Hall '-C 2 2'
loop_
_atom_site_label
_atom_site_fract_x
_atom_site_fract_y
_atom_site_fract_z
Zn1 0.0000 0.0000 0.0000
Zn2 0.2500 0.2500 0.5000
Tc1 0.0000 0.5000 0.0000
```

Properties
- N(E_F): 0.530 states/eV/atom
- Total DFT energy (no corrections): -3.99 eV per atom
- ΔH_f (0 K): 5 kJ/mol of formula units

(13)
This record from Alexandria describes a relaxed structure of Zn3Tc. The functional is PBEsol.

CIF file:
```
data_Zn3Tc
_chemical_formula_sum 'Zn6 Tc2'
_cell_length_a 9.0395
_cell_length_b 2.6601
_cell_length_c 4.6566
_cell_angle_alpha 90.00
_cell_angle_beta 102.18
_cell_angle_gamma 90.00
_space_group_name_H-M_alt 'C 1 2/m 1'
_space_group_IT_number 12
loop_
_space_group_symop_operation_xyz
'x,y,z'
'-x,-y,-z'
'-x,y,-z'
'x,-y,z'
'x+1/2,y+1/2,z'
'-x+1/2,-y+1/2,-z'
'-x+1/2,y+1/2,-z'
'x+1/2,-y+1/2,z'
loop_
_atom_site_label
_atom_site_fract_x
_atom_site_fract_y
_atom_site_fract_z
Zn1 0.0000 0.0000 0.0000
Zn2 0.2491 0.5000 0.2559
Tc1 0.0000 0.5000 0.5000
```

Properties
- N(E_F): 0.451 states/eV/atom
- Total DFT energy (no corrections): -3.93 eV per atom
- ΔH_f (0 K): 26 kJ/mol of formula units